i:
The following is a DFT calculation (PBE) of a geometry-optimized AgPPdO structure.

**V**: 129.5 Å³/cell

Cell: 4.2340 4.2340 7.2238 Å, 90.00 90.00 90.00°
Positions (direct):
Ag (0.2500, 0.2500, 0.0702)
Ag (0.7500, 0.7500, 0.9298)
P (0.2500, 0.2500, 0.6556)
P (0.7500, 0.7500, 0.3444)
Pd (0.2500, 0.7500, 0.5000)
Pd (0.7500, 0.2500, 0.5000)
O (0.2500, 0.7500, 0.0000)
O (0.7500, 0.2500, 0.0000)



ii:
The following is a DFT calculation (PBE) of a geometry-optimized AgPPdO structure.

**V**: 124.9 Å³/cell

Cell: 3.2754 7.1396 5.3391 Å, 90.00 90.00 90.00°
Positions (direct):
Ag (0.0000, 0.2382, 0.0000)
Ag (0.0000, 0.7618, 0.5000)
P (0.0000, 0.4222, 0.4257)
P (0.0000, 0.5778, 0.9257)
Pd (0.5000, 0.1990, 0.4351)
Pd (0.5000, 0.8010, 0.9351)
O (0.5000, 0.0736, 0.7987)
O (0.5000, 0.9264, 0.2987)



ii wins, 1.3 kJ/mol of atoms ahead of the next structure.



i:
The following is a DFT calculation (PBE) of a geometry-optimized LuFeSbPd structure.

**Spin magnetization**: 2.60 μB/f.u.
**V**: 75.6 Å³/cell

Cell: 4.7471 4.7471 4.7471 Å, 60.00 60.00 60.00°
Positions (direct):
Lu (0.0000, 0.0000, 0.0000)
Fe (0.5000, 0.5000, 0.5000)
Sb (0.2500, 0.2500, 0.2500)
Pd (0.7500, 0.7500, 0.7500)



ii:
The following is a DFT calculation (PBE) of a geometry-optimized LuFeSbPd structure.

**Spin magnetization**: 1.79 μB/f.u.
**V**: 71.0 Å³/cell

Cell: 4.6484 4.6484 4.6484 Å, 60.00 60.00 60.00°
Positions (direct):
Lu (0.0000, 0.0000, 0.0000)
Fe (0.7500, 0.7500, 0.7500)
Sb (0.5000, 0.5000, 0.5000)
Pd (0.2500, 0.2500, 0.2500)



ii wins, 12.0 kJ/mol of atoms ahead of the next structure.



i:
The following is a DFT calculation (PBE) of a geometry-optimized Sr2AgPt structure.

**Spin magnetization**: 0.00 μB/f.u.
**V**: 422.9 Å³/cell

Cell: 7.5016 7.6428 7.3762 Å, 90.00 90.00 90.00°
Positions (direct):
Sr (0.2495, 0.0070, 0.2489)
Sr (0.2495, 0.4930, 0.2489)
Sr (0.2505, 0.5070, 0.7489)
Sr (0.2505, 0.9930, 0.7489)
Sr (0.7495, 0.0070, 0.2511)
Sr (0.7495, 0.4930, 0.2511)
Sr (0.7505, 0.5070, 0.7511)
Sr (0.7505, 0.9930, 0.7511)
Ag (0.0000, 0.2500, 0.5168)
Ag (0.0000, 0.7500, 0.4832)
Ag (0.5000, 0.2500, 0.9832)
Ag (0.5000, 0.7500, 0.0168)
Pt (0.9998, 0.2500, 0.9855)
Pt (0.0002, 0.7500, 0.0145)
Pt (0.4998, 0.2500, 0.5145)
Pt (0.5002, 0.7500, 0.4855)



ii:
The following is a DFT calculation (PBE) of a geometry-optimized Sr2AgPt structure.

**Spin magnetization**: 0.00 μB/f.u.
**V**: 109.2 Å³/cell

Cell: 3.7661 3.7661 7.6990 Å, 90.00 90.00 90.00°
Positions (direct):
Sr (0.0000, 0.0000, 0.2288)
Sr (0.0000, 0.0000, 0.7712)
Ag (0.5000, 0.5000, 0.5000)
Pt (0.5000, 0.5000, 0.0000)



ii wins, 2.9 kJ/mol of atoms ahead of the next structure.